[1]
# PBE ZrCoGe2, relaxed
# space-group type = Fm-3m
data_ZrCoGe2
_chemical_formula_sum 'Zr4 Co4 Ge8'
_cell_length_a 6.361
_cell_length_b 6.361
_cell_length_c 6.361
_cell_angle_alpha 90.00
_cell_angle_beta 90.00
_cell_angle_gamma 90.00
_space_group_name_H-M_alt 'P 1'
_space_group_IT_number 1
loop_
_space_group_symop_operation_xyz
'x,y,z'
loop_
_atom_site_label
_atom_site_type_symbol
_atom_site_fract_x
_atom_site_fract_y
_atom_site_fract_z
Zr1 Zr 0.000 0.000 0.000
Zr2 Zr 0.000 0.500 0.500
Zr3 Zr 0.500 0.000 0.500
Zr4 Zr 0.500 0.500 0.000
Co1 Co 0.000 0.000 0.500
Co2 Co 0.000 0.500 0.000
Co3 Co 0.500 0.000 0.000
Co4 Co 0.500 0.500 0.500
Ge1 Ge 0.250 0.250 0.250
Ge2 Ge 0.250 0.250 0.750
Ge3 Ge 0.250 0.750 0.250
Ge4 Ge 0.250 0.750 0.750
Ge5 Ge 0.750 0.250 0.250
Ge6 Ge 0.750 0.250 0.750
Ge7 Ge 0.750 0.750 0.250
Ge8 Ge 0.750 0.750 0.750

---

[2]
# PBE ZrCoGe, relaxed
# space-group type = I4mm
data_ZrCoGe
_chemical_formula_sum 'Zr2 Co2 Ge2'
_cell_length_a 2.792
_cell_length_b 2.792
_cell_length_c 14.342
_cell_angle_alpha 90.00
_cell_angle_beta 90.00
_cell_angle_gamma 90.00
_space_group_name_H-M_alt 'P 1'
_space_group_IT_number 1
loop_
_space_group_symop_operation_xyz
'x,y,z'
loop_
_atom_site_label
_atom_site_type_symbol
_atom_site_fract_x
_atom_site_fract_y
_atom_site_fract_z
Zr1 Zr 0.000 0.000 0.000
Zr2 Zr 0.500 0.500 0.500
Co1 Co 0.000 0.000 0.180
Co2 Co 0.500 0.500 0.680
Ge1 Ge 0.000 0.000 0.349
Ge2 Ge 0.500 0.500 0.849

---

[3]
# PBE Zr3Co2Ge4, relaxed
# space-group type = C2/m
data_Zr3Co2Ge4
_chemical_formula_sum 'Zr3 Co2 Ge4'
_cell_length_a 5.498
_cell_length_b 5.498
_cell_length_c 7.738
_cell_angle_alpha 108.00
_cell_angle_beta 108.00
_cell_angle_gamma 42.79
_space_group_name_H-M_alt 'P 1'
_space_group_IT_number 1
loop_
_space_group_symop_operation_xyz
'x,y,z'
loop_
_atom_site_label
_atom_site_type_symbol
_atom_site_fract_x
_atom_site_fract_y
_atom_site_fract_z
Zr1 Zr 0.000 0.000 0.000
Zr2 Zr 0.373 0.373 0.309
Zr3 Zr 0.627 0.627 0.691
Co1 Co 0.308 0.308 0.628
Co2 Co 0.692 0.692 0.372
Ge1 Ge 0.084 0.084 0.394
Ge2 Ge 0.295 0.295 0.923
Ge3 Ge 0.705 0.705 0.077
Ge4 Ge 0.916 0.916 0.606

---

[4]
# PBE ZrCo3Ge3, relaxed
# space-group type = Pm-3n
# ΔE to the lowest computed polymorph = 0.507 eV/atom
data_ZrCo3Ge3
_chemical_formula_sum 'Zr2 Co6 Ge6'
_cell_length_a 6.280
_cell_length_b 6.280
_cell_length_c 6.280
_cell_angle_alpha 90.00
_cell_angle_beta 90.00
_cell_angle_gamma 90.00
_space_group_name_H-M_alt 'P 1'
_space_group_IT_number 1
loop_
_space_group_symop_operation_xyz
'x,y,z'
loop_
_atom_site_label
_atom_site_type_symbol
_atom_site_fract_x
_atom_site_fract_y
_atom_site_fract_z
Zr1 Zr 0.000 0.000 0.000
Zr2 Zr 0.500 0.500 0.500
Co1 Co 0.000 0.250 0.500
Co2 Co 0.000 0.750 0.500
Co3 Co 0.250 0.500 0.000
Co4 Co 0.500 0.000 0.250
Co5 Co 0.500 0.000 0.750
Co6 Co 0.750 0.500 0.000
Ge1 Ge 0.000 0.500 0.250
Ge2 Ge 0.000 0.500 0.750
Ge3 Ge 0.250 0.000 0.500
Ge4 Ge 0.500 0.250 0.000
Ge5 Ge 0.500 0.750 0.000
Ge6 Ge 0.750 0.000 0.500

---

[5]
# PBE ZrCo6Ge6, relaxed
# space-group type = P6/mmm
# ΔE to the lowest computed polymorph = 0.000 eV/atom
data_ZrCo6Ge6
_chemical_formula_sum 'Zr1 Co6 Ge6'
_cell_length_a 5.060
_cell_length_b 5.060
_cell_length_c 7.785
_cell_angle_alpha 90.00
_cell_angle_beta 90.00
_cell_angle_gamma 120.00
_space_group_name_H-M_alt 'P 1'
_space_group_IT_number 1
loop_
_space_group_symop_operation_xyz
'x,y,z'
loop_
_atom_site_label
_atom_site_type_symbol
_atom_site_fract_x
_atom_site_fract_y
_atom_site_fract_z
Zr1 Zr 0.000 0.000 0.000
Co1 Co 0.000 0.500 0.250
Co2 Co 0.000 0.500 0.750
Co3 Co 0.500 0.000 0.250
Co4 Co 0.500 0.000 0.750
Co5 Co 0.500 0.500 0.250
Co6 Co 0.500 0.500 0.750
Ge1 Ge 0.000 0.000 0.340
Ge2 Ge 0.000 0.000 0.660
Ge3 Ge 0.333 0.667 0.000
Ge4 Ge 0.333 0.667 0.500
Ge5 Ge 0.667 0.333 0.000
Ge6 Ge 0.667 0.333 0.500

---

[6]
# PBE Zr4Co7Ge6, relaxed
# space-group type = Im-3m
data_Zr4Co7Ge6
_chemical_formula_sum 'Zr4 Co7 Ge6'
_cell_length_a 6.834
_cell_length_b 6.834
_cell_length_c 6.834
_cell_angle_alpha 109.47
_cell_angle_beta 109.47
_cell_angle_gamma 109.47
_space_group_name_H-M_alt 'P 1'
_space_group_IT_number 1
loop_
_space_group_symop_operation_xyz
'x,y,z'
loop_
_atom_site_label
_atom_site_type_symbol
_atom_site_fract_x
_atom_site_fract_y
_atom_site_fract_z
Zr1 Zr 0.000 0.000 0.500
Zr2 Zr 0.000 0.500 0.000
Zr3 Zr 0.500 0.000 0.000
Zr4 Zr 0.500 0.500 0.500
Co1 Co 0.000 0.000 0.000
Co2 Co 0.250 0.500 0.750
Co3 Co 0.250 0.750 0.500
Co4 Co 0.500 0.250 0.750
Co5 Co 0.500 0.750 0.250
Co6 Co 0.750 0.250 0.500
Co7 Co 0.750 0.500 0.250
Ge1 Ge 0.000 0.319 0.319
Ge2 Ge 0.000 0.681 0.681
Ge3 Ge 0.319 0.000 0.319
Ge4 Ge 0.319 0.319 0.000
Ge5 Ge 0.681 0.000 0.681
Ge6 Ge 0.681 0.681 0.000

---

Number 1: calculated volume 257 Å³ per cell, formation energy -0.062 eV per atom. Number 2: calculated volume 112 Å³ per cell, formation energy 0.500 eV per atom. Number 3: calculated volume 150 Å³ per cell, formation energy -0.633 eV per atom. Number 4: calculated volume 248 Å³ per cell, formation energy 0.324 eV per atom. Number 5: calculated volume 173 Å³ per cell, formation energy -0.336 eV per atom. Number 6: calculated volume 246 Å³ per cell, formation energy -0.604 eV per atom.